Entry 1:
## Zr2Al3Ni (PBE)

Data for a relaxed structure of Zr2Al3Ni.

Structure (CIF):
```
data_Zr2Al3Ni
_cell_length_a 5.2889
_cell_length_b 5.2889
_cell_length_c 4.9767
_cell_angle_alpha 90.00
_cell_angle_beta 90.00
_cell_angle_gamma 120.00
_space_group_name_H-M_alt 'P 6/m m m'
_space_group_IT_number 191
_space_group_name_Hall '-P 6 2'
loop_
_atom_site_label
_atom_site_fract_x
_atom_site_fract_y
_atom_site_fract_z
Zr1 0.3333 0.6667 0.0000
Al1 0.0000 0.5000 0.5000
Ni1 0.0000 0.0000 0.0000
```

Calculated values
E_form   164 meV per atom



Entry 2:
## ZrAl2Ni (PBE)

Data for a relaxed structure of ZrAl2Ni.

Structure (CIF):
```
data_ZrAl2Ni
_cell_length_a 2.9148
_cell_length_b 2.9148
_cell_length_c 26.8863
_cell_angle_alpha 90.00
_cell_angle_beta 90.00
_cell_angle_gamma 120.00
_space_group_name_H-M_alt 'R 3 m'
_space_group_IT_number 160
_space_group_name_Hall 'R 3 -2"'
loop_
_atom_site_label
_atom_site_fract_x
_atom_site_fract_y
_atom_site_fract_z
Zr1 0.0000 0.0000 0.0000
Al1 0.0000 0.0000 0.2394
Al2 0.0000 0.0000 0.4861
Ni1 0.0000 0.0000 0.7514
```

Calculated values
E_form   -121 meV per atom



Entry 3:
## ZrAlNi2 (PBE)

Data for a relaxed structure of ZrAlNi2.

Structure (CIF):
```
data_ZrAlNi2
_cell_length_a 2.9070
_cell_length_b 2.9070
_cell_length_c 24.5312
_cell_angle_alpha 90.00
_cell_angle_beta 90.00
_cell_angle_gamma 120.00
_space_group_name_H-M_alt 'R -3 m'
_space_group_IT_number 166
_space_group_name_Hall '-R 3 2"'
loop_
_atom_site_label
_atom_site_fract_x
_atom_site_fract_y
_atom_site_fract_z
Zr1 0.0000 0.0000 0.0000
Al1 0.0000 0.0000 0.5000
Ni1 0.0000 0.0000 0.2422
```

Calculated values
E_form   -118 meV per atom



Entry 4:
## ZrAl2Ni (PBE)

Data for a relaxed structure of ZrAl2Ni.

Structure (CIF):
```
data_ZrAl2Ni
_cell_length_a 2.9270
_cell_length_b 2.9270
_cell_length_c 26.6091
_cell_angle_alpha 90.00
_cell_angle_beta 90.00
_cell_angle_gamma 120.00
_space_group_name_H-M_alt 'R -3 m'
_space_group_IT_number 166
_space_group_name_Hall '-R 3 2"'
loop_
_atom_site_label
_atom_site_fract_x
_atom_site_fract_y
_atom_site_fract_z
Zr1 0.0000 0.0000 0.0000
Al1 0.0000 0.0000 0.2368
Ni1 0.0000 0.0000 0.5000
```

Calculated values
E_form   -195 meV per atom



Entry 5:
## ZrAlNi5 (PBE)

Data for a relaxed structure of ZrAlNi5.

Structure (CIF):
```
data_ZrAlNi5
_cell_length_a 3.519
_cell_length_b 3.519
_cell_length_c 7.574
_cell_angle_alpha 90.00
_cell_angle_beta 90.00
_cell_angle_gamma 90.00
_space_group_name_H-M_alt 'P 4/m m m'
_space_group_IT_number 123
_space_group_name_Hall '-P 4 2'
loop_
_atom_site_label
_atom_site_fract_x
_atom_site_fract_y
_atom_site_fract_z
Zr1 0.000 0.000 0.000
Al1 0.000 0.000 0.500
Ni1 0.000 0.500 0.262
Ni2 0.500 0.500 0.500
```

Calculated values
E_form   -289 meV per atom



Entry 6:
## Zr2AlNi (PBE)

Data for a relaxed structure of Zr2AlNi.

Structure (CIF):
```
data_Zr2AlNi
_cell_length_a 6.4724
_cell_length_b 6.4724
_cell_length_c 20.1707
_cell_angle_alpha 90.00
_cell_angle_beta 90.00
_cell_angle_gamma 120.00
_space_group_name_H-M_alt 'R -3 m'
_space_group_IT_number 166
_space_group_name_Hall '-R 3 2"'
loop_
_atom_site_label
_atom_site_fract_x
_atom_site_fract_y
_atom_site_fract_z
Zr1 0.0116 0.5058 0.4122
Al1 0.0000 0.0000 0.3725
Al2 0.0000 0.0000 0.5000
Ni1 0.0000 0.0000 0.0000
Ni2 0.0000 0.0000 0.1627
```

Calculated values
E_form   -37 meV per atom



Entry 7:
## ZrAl2Ni (PBE)

Data for a relaxed structure of ZrAl2Ni.

Structure (CIF):
```
data_ZrAl2Ni
_cell_length_a 4.374
_cell_length_b 9.754
_cell_length_c 5.987
_cell_angle_alpha 90.00
_cell_angle_beta 90.00
_cell_angle_gamma 90.00
_space_group_name_H-M_alt 'A m a 2'
_space_group_IT_number 40
_space_group_name_Hall 'A 2 -2a'
loop_
_atom_site_label
_atom_site_fract_x
_atom_site_fract_y
_atom_site_fract_z
Zr1 0.250 0.145 0.000
Al1 0.250 0.156 0.474
Al2 0.250 0.414 0.210
Ni1 0.250 0.414 0.786
```

Calculated values
E_form   -465 meV per atom



Entry 8:
## Zr3AlNi8 (PBE)

Data for a relaxed structure of Zr3AlNi8.

Structure (CIF):
```
data_Zr3AlNi8
_cell_length_a 4.8731
_cell_length_b 4.8731
_cell_length_c 23.9330
_cell_angle_alpha 90.00
_cell_angle_beta 90.00
_cell_angle_gamma 120.00
_space_group_name_H-M_alt 'R 3 m'
_space_group_IT_number 160
_space_group_name_Hall 'R 3 -2"'
loop_
_atom_site_label
_atom_site_fract_x
_atom_site_fract_y
_atom_site_fract_z
Zr1 0.0000 0.0000 0.0000
Zr2 0.0000 0.0000 0.1269
Zr3 0.0000 0.0000 0.5136
Al1 0.0000 0.0000 0.6374
Ni1 0.0000 0.0000 0.3172
Ni2 0.0000 0.0000 0.8177
Ni3 0.0008 0.5004 0.0677
Ni4 0.1681 0.3361 0.9013
```

Calculated values
E_form   -461 meV per atom



Entry 9:
## Zr2AlNi (PBE)

Data for a relaxed structure of Zr2AlNi.

Structure (CIF):
```
data_Zr2AlNi
_cell_length_a 10.282
_cell_length_b 4.426
_cell_length_c 3.272
_cell_angle_alpha 90.00
_cell_angle_beta 99.73
_cell_angle_gamma 90.00
_space_group_name_H-M_alt 'C 1 m 1'
_space_group_IT_number 8
_space_group_name_Hall 'C -2y'
loop_
_atom_site_label
_atom_site_fract_x
_atom_site_fract_y
_atom_site_fract_z
Zr1 0.000 0.000 0.000
Zr2 0.220 0.500 0.380
Al1 0.424 0.000 0.463
Ni1 0.246 0.000 0.867
```

Calculated values
E_form   -375 meV per atom



Entry 10:
## ZrAl2Ni (PBE)

Data for a relaxed structure of ZrAl2Ni.

Structure (CIF):
```
data_ZrAl2Ni
_cell_length_a 6.979
_cell_length_b 6.429
_cell_length_c 6.244
_cell_angle_alpha 90.00
_cell_angle_beta 90.00
_cell_angle_gamma 90.00
_space_group_name_H-M_alt 'P n a 21'
_space_group_IT_number 33
_space_group_name_Hall 'P 2c -2n'
loop_
_atom_site_label
_atom_site_fract_x
_atom_site_fract_y
_atom_site_fract_z
Zr1 0.168 0.157 0.000
Al1 0.005 0.495 0.254
Al2 0.163 0.162 0.502
Ni1 0.131 0.866 0.752
```

Calculated values
E_form   -382 meV per atom



Entry 11:
## Zr3AlNi3 (PBE)

Data for a relaxed structure of Zr3AlNi3.

Structure (CIF):
```
data_Zr3AlNi3
_cell_length_a 3.956
_cell_length_b 6.503
_cell_length_c 9.516
_cell_angle_alpha 90.00
_cell_angle_beta 90.00
_cell_angle_gamma 90.00
_space_group_name_H-M_alt 'P m m n'
_space_group_IT_number 59
loop_
_space_group_symop_operation_xyz
'x,y,z'
'-x,-y,-z'
'-x+1/2,-y+1/2,z'
'x+1/2,y+1/2,-z'
'x+1/2,-y,-z'
'-x+1/2,y,z'
'-x,y+1/2,-z'
'x,-y+1/2,z'
loop_
_atom_site_label
_atom_site_fract_x
_atom_site_fract_y
_atom_site_fract_z
Zr1 0.250 0.003 0.140
Zr2 0.250 0.250 0.641
Al1 0.250 0.750 0.627
Ni1 0.250 0.021 0.413
Ni2 0.250 0.250 0.925
```

Calculated values
E_form   -312 meV per atom



Entry 12:
## Zr2AlNi (PBE)

Data for a relaxed structure of Zr2AlNi.

Structure (CIF):
```
data_Zr2AlNi
_cell_length_a 3.216
_cell_length_b 4.563
_cell_length_c 9.855
_cell_angle_alpha 90.00
_cell_angle_beta 90.00
_cell_angle_gamma 90.00
_space_group_name_H-M_alt 'I m m 2'
_space_group_IT_number 44
_space_group_name_Hall 'I 2 -2'
loop_
_atom_site_label
_atom_site_fract_x
_atom_site_fract_y
_atom_site_fract_z
Zr1 0.000 0.000 0.000
Zr2 0.000 0.500 0.228
Al1 0.000 0.500 0.795
Ni1 0.000 0.000 0.488
```

Calculated values
E_form   -373 meV per atom